Entry 1:
Crystalline BaInB2Ru at its relaxed geometry. Source: Alexandria via LeMat-Bulk, functional PBE.

For the density of states at the Fermi level, the calculation gives 3.55 states/eV per cell. As for the formation energy: 943 meV per atom.

The structure belongs to space group P4/mmm (No. 123); the cell edges are 4.3939, 4.3939 and 5.6030 Å and the angles 90.00°, 90.00° and 90.00°. Symmetry generates all atoms from Ba at (0.0000, 0.0000, 0.0000), In at (0.5000, 0.5000, 0.0000), B at (0.0000, 0.5000, 0.5000) and Ru at (0.0000, 0.0000, 0.5000).

---

Entry 2:
Crystalline BaIn2BS at its relaxed geometry. Source: Alexandria via LeMat-Bulk, functional PBE.

For the density of states at the Fermi level, the calculation gives 1.41 states/eV per cell. Its uncorrected formation energy is -0.157 eV per atom.

The structure belongs to space group P4/mmm (No. 123); the cell edges are 4.5079, 4.5079 and 6.7392 Å and the angles 90.00°, 90.00° and 90.00°. Symmetry generates all atoms from Ba at (0.0000, 0.0000, 0.0000), In at (0.0000, 0.5000, 0.5000), B at (0.0000, 0.0000, 0.5000) and S at (0.5000, 0.5000, 0.0000).

---

Entry 3:
Crystalline Ba2InSiB at its relaxed geometry. Source: Alexandria via LeMat-Bulk, functional PBE.

For the density of states at the Fermi level, the calculation gives 4.61 states/eV per cell. Its uncorrected formation energy is 0.249 eV per atom.

The structure belongs to space group P4/mmm (No. 123); the cell edges are 6.1083, 6.1083 and 4.2491 Å and the angles 90.00°, 90.00° and 90.00°. Symmetry generates all atoms from Ba at (0.0000, 0.5000, 0.0000), In at (0.0000, 0.0000, 0.5000), Si at (0.5000, 0.5000, 0.5000) and B at (0.0000, 0.0000, 0.0000).

---

Entry 4:
Crystalline BaBIr at its relaxed geometry. Source: Alexandria via LeMat-Bulk, functional PBE.

For the density of states at the Fermi level, the calculation gives 1.77 states/eV per cell. As for the formation energy: -189 meV per atom.

The structure belongs to space group P-6m2 (No. 187); the cell edges are 3.6852, 3.6852 and 5.2134 Å and the angles 90.00°, 90.00° and 120.00°. Symmetry generates all atoms from Ba at (0.0000, 0.0000, 0.0000), B at (0.3333, 0.6667, 0.5000) and Ir at (0.6667, 0.3333, 0.5000).

---

Entry 5:
Crystalline BaBIr2 at its relaxed geometry. Source: Alexandria via LeMat-Bulk, functional PBE.

For the density of states at the Fermi level, the calculation gives 11.33 states/eV per cell. As for the formation energy: -33 meV per atom.

The structure belongs to space group I4_1/amd (No. 141, origin choice 2); the cell edges are 5.0762, 5.0762 and 13.8969 Å and the angles 90.00°, 90.00° and 90.00°. Symmetry generates all atoms from Ba at (0.0000, 0.2500, 0.3750), B at (0.0000, 0.2500, 0.8750) and Ir at (0.0000, 0.0000, 0.0000).

---

Entry 6:
Crystalline Ba2B2Ir at its relaxed geometry. Source: Alexandria via LeMat-Bulk, functional PBE.

For the density of states at the Fermi level, the calculation gives 4.34 states/eV per cell. As for the formation energy: 577 meV per atom.

The structure belongs to space group P4/mbm (No. 127); the cell edges are 6.1461, 6.1461 and 5.6487 Å and the angles 90.00°, 90.00° and 90.00°. Symmetry generates all atoms from Ba at (0.1811, 0.3189, 0.0000), B at (0.2249, 0.7249, 0.5000) and Ir at (0.0000, 0.0000, 0.5000).

---

Entry 7:
Crystalline BaBIr at its relaxed geometry. Source: Alexandria via LeMat-Bulk, functional PBE.

For the density of states at the Fermi level, the calculation gives 2.73 states/eV per cell. As for the formation energy: -398 meV per atom.

The structure belongs to space group P4/nmm (No. 129, origin choice 2); the cell edges are 3.9578, 3.9578 and 9.7859 Å and the angles 90.00°, 90.00° and 90.00°. Symmetry generates all atoms from Ba at (0.2500, 0.2500, 0.2148), B at (0.2500, 0.2500, 0.5847) and Ir at (0.2500, 0.7500, 0.5000).

---

Entry 8:
Crystalline BaB4Ir4 at its relaxed geometry. Source: Alexandria via LeMat-Bulk, functional PBE.

For the density of states at the Fermi level, the calculation gives 9.51 states/eV per cell. As for the formation energy: -370 meV per atom.

The structure belongs to space group P4_2/n (No. 86, origin choice 2); the cell edges are 7.9023, 7.9023 and 3.9538 Å and the angles 90.00°, 90.00° and 90.00°. Symmetry generates all atoms from Ba at (0.2500, 0.2500, 0.2500), B at (0.0306, 0.5909, 0.1487) and Ir at (0.0963, 0.8600, 0.1506).

---

Entry 9:
Crystalline Ba2B2Ir at its relaxed geometry. Source: Alexandria via LeMat-Bulk, functional PBE.

For the density of states at the Fermi level, the calculation gives 6.91 states/eV per cell. As for the formation energy: 253 meV per atom.

The structure belongs to space group I4/mmm (No. 139); the cell edges are 6.0124, 6.0124 and 6.1363 Å and the angles 90.00°, 90.00° and 90.00°. Symmetry generates all atoms from Ba at (0.0000, 0.5000, 0.2500), B at (0.0000, 0.0000, 0.1359) and Ir at (0.0000, 0.0000, 0.5000).

---

Entry 10:
Crystalline BaBIr2N at its relaxed geometry. Source: Alexandria via LeMat-Bulk, functional PBE.

For the density of states at the Fermi level, the calculation gives 3.68 states/eV per cell. Its uncorrected formation energy is 3.514 eV per atom.

The structure belongs to space group P4/mmm (No. 123); the cell edges are 5.3155, 5.3155 and 4.4923 Å and the angles 90.00°, 90.00° and 90.00°. Symmetry generates all atoms from Ba at (0.0000, 0.0000, 0.0000), B at (0.5000, 0.5000, 0.5000), Ir at (0.0000, 0.5000, 0.0000) and N at (0.0000, 0.0000, 0.5000).

---

Entry 11:
Crystalline BaBIrO5 at its relaxed geometry. Source: Alexandria via LeMat-Bulk, functional PBE.

For the density of states at the Fermi level, the calculation gives 18.32 states/eV per cell. Its uncorrected formation energy is -1.649 eV per atom.

The structure belongs to space group C2/c (No. 15); the cell edges are 6.6937, 9.0062 and 7.1963 Å and the angles 90.00°, 114.89° and 90.00°. Symmetry generates all atoms from Ba at (0.0000, 0.1530, 0.2500), B at (0.0000, 0.2033, 0.7500), Ir at (0.0000, 0.5000, 0.0000), O at (0.0000, 0.4384, 0.2500), O at (0.0845, 0.2895, 0.6248) and O at (0.1828, 0.0955, 0.8986).

---

Entry 12:
Crystalline BaBIrO6 at its relaxed geometry. Source: Alexandria via LeMat-Bulk, functional PBE.

For the density of states at the Fermi level, the calculation gives 2.53 states/eV per cell. Its uncorrected formation energy is -1.568 eV per atom.

The structure belongs to space group P1 (No. 1); the cell edges are 4.6442, 5.1913 and 5.7340 Å and the angles 88.00°, 85.41° and 63.46°. Symmetry generates all atoms from Ba at (0.0000, 0.0000, 0.0000), B at (0.4375, 0.1236, 0.5002), Ir at (0.7158, 0.5671, 0.5002), O at (0.1409, 0.2802, 0.6428), O at (0.3855, 0.9037, 0.3585), O at (0.5190, 0.5067, 0.7669), O at (0.5783, 0.2794, 0.3574), O at (0.7087, 0.9042, 0.6424) and O at (0.9730, 0.5070, 0.2336).

---

Entry 13:
Crystalline BaB2IrS8 at its relaxed geometry. Source: Alexandria via LeMat-Bulk, functional PBE.

For the density of states at the Fermi level, the calculation gives 5.26 states/eV per cell. Its uncorrected formation energy is -0.410 eV per atom.

The structure belongs to space group P-3 (No. 147); the cell edges are 5.7086, 5.7086 and 9.0002 Å and the angles 90.00°, 90.00° and 120.00°. Symmetry generates all atoms from Ba at (0.0000, 0.0000, 0.0000), B at (0.3333, 0.6667, 0.6870), Ir at (0.0000, 0.0000, 0.5000), S at (0.0006, 0.3726, 0.6189) and S at (0.3333, 0.6667, 0.8958).

---

Entry 14:
Crystalline Ba2BIrSe at its relaxed geometry. Source: Alexandria via LeMat-Bulk, functional PBE.

For the density of states at the Fermi level, the calculation gives 1.90 states/eV per cell. Its uncorrected formation energy is -0.583 eV per atom.

The structure belongs to space group P4/mmm (No. 123); the cell edges are 6.0007, 6.0007 and 4.1021 Å and the angles 90.00°, 90.00° and 90.00°. Symmetry generates all atoms from Ba at (0.0000, 0.5000, 0.0000), B at (0.0000, 0.0000, 0.5000), Ir at (0.0000, 0.0000, 0.0000) and Se at (0.5000, 0.5000, 0.5000).

---

Entry 15:
Crystalline BaB2IrSe8 at its relaxed geometry. Source: Alexandria via LeMat-Bulk, functional PBE.

For the density of states at the Fermi level, the calculation gives 6.57 states/eV per cell. Its uncorrected formation energy is -0.322 eV per atom.

The structure belongs to space group P-3 (No. 147); the cell edges are 6.1023, 6.1023 and 8.7141 Å and the angles 90.00°, 90.00° and 120.00°. Symmetry generates all atoms from Ba at (0.0000, 0.0000, 0.0000), B at (0.3333, 0.6667, 0.7039), Ir at (0.0000, 0.0000, 0.5000), Se at (0.0019, 0.6380, 0.3626) and Se at (0.3333, 0.6667, 0.9384).

---

Entry 16:
Crystalline Ba2BIrSe at its relaxed geometry. Source: Alexandria via LeMat-Bulk, functional PBE.

For the density of states at the Fermi level, the calculation gives 3.79 states/eV per cell. Its uncorrected formation energy is -0.603 eV per atom.

The structure belongs to space group P4/mmm (No. 123); the cell edges are 5.9312, 5.9312 and 3.9909 Å and the angles 90.00°, 90.00° and 90.00°. Symmetry generates all atoms from Ba at (0.0000, 0.5000, 0.0000), B at (0.0000, 0.0000, 0.0000), Ir at (0.0000, 0.0000, 0.5000) and Se at (0.5000, 0.5000, 0.5000).

---

Entry 17:
Crystalline BaSnBIr2 at its relaxed geometry. Source: Alexandria via LeMat-Bulk, functional PBE.

For the density of states at the Fermi level, the calculation gives 9.35 states/eV per cell. As for the formation energy: 3005 meV per atom.

The structure belongs to space group P4/mmm (No. 123); the cell edges are 5.1643, 5.1643 and 6.1645 Å and the angles 90.00°, 90.00° and 90.00°. Symmetry generates all atoms from Ba at (0.0000, 0.0000, 0.0000), Sn at (0.0000, 0.0000, 0.5000), B at (0.5000, 0.5000, 0.5000) and Ir at (0.0000, 0.5000, 0.0000).

---

Entry 18:
Crystalline Ba2BTeIr at its relaxed geometry. Source: Alexandria via LeMat-Bulk, functional PBE.

For the density of states at the Fermi level, the calculation gives 3.22 states/eV per cell. Its uncorrected formation energy is -0.542 eV per atom.

The structure belongs to space group P4/mmm (No. 123); the cell edges are 6.0790, 6.0790 and 4.0271 Å and the angles 90.00°, 90.00° and 90.00°. Symmetry generates all atoms from Ba at (0.0000, 0.5000, 0.0000), B at (0.0000, 0.0000, 0.0000), Te at (0.5000, 0.5000, 0.5000) and Ir at (0.0000, 0.0000, 0.5000).

---

Entry 19:
Crystalline Ba2BTeIr at its relaxed geometry. Source: Alexandria via LeMat-Bulk, functional PBE.

For the density of states at the Fermi level, the calculation gives 2.29 states/eV per cell. Its uncorrected formation energy is -0.536 eV per atom.

The structure belongs to space group P4/mmm (No. 123); the cell edges are 6.1180, 6.1180 and 4.1477 Å and the angles 90.00°, 90.00° and 90.00°. Symmetry generates all atoms from Ba at (0.0000, 0.5000, 0.0000), B at (0.0000, 0.0000, 0.5000), Te at (0.5000, 0.5000, 0.5000) and Ir at (0.0000, 0.0000, 0.0000).

---

Entry 20:
Crystalline BaZn2BIr2 at its relaxed geometry. Source: Alexandria via LeMat-Bulk, functional PBE.

For the density of states at the Fermi level, the calculation gives 1.64 states/eV per cell. As for the formation energy: -377 meV per atom.

The structure belongs to space group P4/mmm (No. 123); the cell edges are 4.2070, 4.2070 and 6.1415 Å and the angles 90.00°, 90.00° and 90.00°. Symmetry generates all atoms from Ba at (0.0000, 0.0000, 0.0000), Zn at (0.5000, 0.5000, 0.2377), B at (0.0000, 0.0000, 0.5000) and Ir at (0.0000, 0.5000, 0.5000).

---

Here are the calculated total DFT energy (no corrections) numbers, same order: -4.52, -3.80, -3.49, -6.01, -6.61, -4.63, -6.22, -7.49, -4.96, -3.42, -6.93, -6.81, -5.17, -5.16, -4.66, -5.18, -3.06, -5.05, -5.04, -5.19 (eV per atom).